Material: Ca2FeOs
Method: DFT, PBEsol
State: relaxed

Geometry as POSCAR:
```
Ca2FeOs
1.0
2.7903 0.0000 0.0000
0.0000 4.5521 0.0000
0.0000 0.0000 5.8362
Ca Fe Os
2 1 1
direct
0.0000 0.0000 0.2472
0.0000 0.0000 0.7528
0.5000 0.5000 0.5000
0.5000 0.5000 0.0000
```

Values from the calculation:
As for the crystal system: orthorhombic. The calculation puts the spin magnetization at 2.49 μB per formula unit. The offset from the most stable computed form comes out at 592 meV/atom.